Crystalline CuAg at its relaxed geometry, computed with GGA-PBE.

abc: 6.0151 6.0151 9.2893
angles: 126.84 126.84 26.80
Last column: nearest neighbours and their distance in Å.
Element x y z (fractional)
Cu 0.0000 0.0000 0.0000  8 Ag 2.69-2.72, 4 Cu 2.79-2.96
Cu 0.1297 0.1297 0.3918  6 Cu 2.63-2.79, 5 Ag 2.64-2.73
Cu 0.5000 0.5000 0.5000  6 Cu 2.67-2.79, 6 Ag 2.77-2.78
Cu 0.8703 0.8703 0.6082  6 Cu 2.63-2.79, 5 Ag 2.64-2.73
Ag 0.2558 0.2558 0.7449  7 Cu 2.64-2.77, 5 Ag 2.79-2.93
Ag 0.3885 0.3885 0.1350  5 Cu 2.69-2.78, 7 Ag 2.79-2.95
Ag 0.6115 0.6115 0.8650  5 Cu 2.69-2.78, 7 Ag 2.79-2.95
Ag 0.7442 0.7442 0.2551  7 Cu 2.64-2.77, 5 Ag 2.79-2.93

Results
calculated volume = 119.3 Å³ per cell
VASP energy = -25.45 eV/cell
space group = No. 12
crystal system = monoclinic
formation energy = 2.065 kcal/mol of atoms

Crystalline Cu4Ag5 at its relaxed geometry, computed with GGA-PBE.

abc: 7.2722 7.2722 8.2668
angles: 123.64 123.64 22.42
Last column: nearest neighbours and their distance in Å.
Element x y z (fractional)
Cu 0.0000 0.0000 0.0000  5 Cu 2.61-2.83, 7 Ag 2.74-2.91
Cu 0.0033 0.0033 0.3192  7 Cu 2.61-2.85, 5 Ag 2.66-2.75
Cu 0.3460 0.3460 0.9994  8 Cu 2.61-2.85, 4 Ag 2.63-2.80
Cu 0.6727 0.6727 0.6612  6 Ag 2.71-2.72, 6 Cu 2.83-2.85
Ag 0.0099 0.0099 0.6585  4 Cu 2.71-2.91, 8 Ag 2.78-2.89
Ag 0.3389 0.3389 0.6749  5 Cu 2.63-2.74, 7 Ag 2.83-2.94
Ag 0.3431 0.3431 0.3233  3 Cu 2.70, 9 Ag 2.81-2.94
Ag 0.6629 0.6629 0.3236  5 Cu 2.66-2.74, 7 Ag 2.83-2.93
Ag 0.6735 0.6735 0.9906  5 Cu 2.72-2.89, 7 Ag 2.78-2.84

Results
calculated volume = 137.6 Å³ per cell
VASP energy = -28.07 eV/cell
space group = No. 8
crystal system = monoclinic
formation energy = 2.346 kcal/mol of atoms

Crystalline Cu5Ag3 at its relaxed geometry, computed with GGA-PBE.

abc: 4.7483 2.7619 8.8725
angles: 90.00 100.71 90.00
Last column: nearest neighbours and their distance in Å.
Element x y z (fractional)
Cu 0.0000 0.0000 0.0000  8 Cu 2.60-2.76, 4 Ag 2.75
Cu 0.2359 0.5000 0.2391  8 Cu 2.60-2.83, 4 Ag 2.66-2.79
Cu 0.2418 0.0000 0.7553  7 Cu 2.64-2.83, 5 Ag 2.67-2.77
Cu 0.7582 0.0000 0.2447  7 Cu 2.64-2.83, 5 Ag 2.67-2.77
Cu 0.7641 0.5000 0.7609  8 Cu 2.60-2.83, 4 Ag 2.66-2.79
Ag 0.0000 0.5000 0.5000  6 Cu 2.72-2.75, 6 Ag 2.75-2.76
Ag 0.5000 0.0000 0.5000  6 Ag 2.75-2.76, 6 Cu 2.77-2.79
Ag 0.5000 0.5000 0.0000  10 Cu 2.66-2.75, 2 Ag 2.76

Results
calculated volume = 114.3 Å³ per cell
VASP energy = -26.14 eV/cell
space group = No. 10
crystal system = monoclinic
formation energy = 2.656 kcal/mol of atoms

Crystalline CuAg2 at its relaxed geometry, computed with GGA-PBE.

abc: 7.3189 7.3189 6.9555
angles: 94.39 94.39 22.65
Last column: nearest neighbours and their distance in Å.
Element x y z (fractional)
Cu 0.0000 0.0000 0.0000  10 Ag 2.76-2.97, 2 Cu 2.87
Cu 0.2204 0.2204 0.3522  4 Cu 2.60-2.87, 7 Ag 2.70-2.78
Cu 0.7796 0.7796 0.6478  4 Cu 2.60-2.87, 7 Ag 2.70-2.78
Ag 0.1213 0.1213 0.6732  4 Cu 2.70-2.97, 8 Ag 2.85-2.90
Ag 0.3342 0.3342 0.9780  7 Ag 2.77-2.87, 4 Cu 2.77
Ag 0.4461 0.4461 0.6716  4 Cu 2.76-2.78, 8 Ag 2.77-2.94
Ag 0.5539 0.5539 0.3284  4 Cu 2.76-2.78, 8 Ag 2.77-2.94
Ag 0.6659 0.6659 0.0220  7 Ag 2.77-2.87, 4 Cu 2.77
Ag 0.8787 0.8787 0.3268  4 Cu 2.70-2.97, 8 Ag 2.85-2.90

Results
calculated volume = 143.0 Å³ per cell
VASP energy = -27.38 eV/cell
space group = No. 12
crystal system = monoclinic
formation energy = 1.824 kcal/mol of atoms

Crystalline Cu3Ag2 at its relaxed geometry, computed with GGA-PBE.

abc: 4.7256 4.7256 8.6128
angles: 90.10 90.10 48.05
Last column: nearest neighbours and their distance in Å.
Element x y z (fractional)
Cu 0.0000 0.0000 0.0000  6 Cu 2.50-2.73, 5 Ag 2.71-2.80
Cu 0.1083 0.1083 0.2695  8 Cu 2.50-2.76, 4 Ag 2.69-2.76
Cu 0.4160 0.4160 0.1833  9 Cu 2.55-2.82, 3 Ag 2.63-2.66
Cu 0.5073 0.5073 0.4721  5 Cu 2.61-2.77, 7 Ag 2.70-2.81
Cu 0.6965 0.6965 0.0894  8 Cu 2.55-2.82, 4 Ag 2.62-2.75
Cu 0.9059 0.9059 0.6798  9 Ag 2.69-2.84, 3 Cu 2.77-2.87
Ag 0.2045 0.2045 0.5754  7 Cu 2.72-2.76, 5 Ag 2.78-2.92
Ag 0.3025 0.3025 0.8995  8 Cu 2.63-2.84, 4 Ag 2.73-2.92
Ag 0.5974 0.5974 0.7853  7 Cu 2.69-2.82, 5 Ag 2.73-2.80
Ag 0.8130 0.8130 0.3700  10 Cu 2.62-2.78, 2 Ag 2.78

Results
calculated volume = 143.0 Å³ per cell
VASP energy = -32.67 eV/cell
space group = No. 8
crystal system = monoclinic
formation energy = 2.144 kcal/mol of atoms

Crystalline Cu3Ag2 at its relaxed geometry, computed with GGA-PBE.

abc: 6.0514 3.8123 6.2140
angles: 90.00 91.02 90.00
Last column: nearest neighbours and their distance in Å.
Element x y z (fractional)
Cu 0.0848 0.0000 0.1884  6 Cu 2.54-2.69, 5 Ag 2.77-2.79
Cu 0.1834 0.5000 0.9012  7 Cu 2.56-2.74, 5 Ag 2.71-2.83
Cu 0.2917 0.0000 0.6047  5 Cu 2.64-2.86, 7 Ag 2.67-2.78
Cu 0.7083 0.0000 0.3953  5 Cu 2.64-2.86, 7 Ag 2.67-2.78
Cu 0.8166 0.5000 0.0988  7 Cu 2.56-2.74, 5 Ag 2.71-2.83
Cu 0.9152 0.0000 0.8116  6 Cu 2.54-2.69, 5 Ag 2.77-2.79
Ag 0.0000 0.5000 0.5000  10 Cu 2.67-2.77, 2 Ag 2.74
Ag 0.3999 0.5000 0.2990  8 Cu 2.73-2.83, 4 Ag 2.74-2.76
Ag 0.5000 0.0000 0.0000  4 Ag 2.74, 8 Cu 2.74-2.79
Ag 0.6001 0.5000 0.7010  8 Cu 2.73-2.83, 4 Ag 2.74-2.76

Results
calculated volume = 143.3 Å³ per cell
VASP energy = -32.62 eV/cell
space group = No. 10
crystal system = monoclinic
formation energy = 2.250 kcal/mol of atoms

Crystalline Cu3Ag2 at its relaxed geometry, computed with GGA-PBE.

abc: 7.2899 7.2899 4.6532
angles: 96.28 96.28 141.84
Last column: nearest neighbours and their distance in Å.
Element x y z (fractional)
Cu 0.0000 0.0000 0.0000  6 Cu 2.66-2.72, 6 Ag 2.71-2.74
Cu 0.0935 0.9065 0.5000  8 Cu 2.58-2.84, 4 Ag 2.72
Cu 0.2994 0.7006 0.5000  6 Ag 2.72-2.73, 6 Cu 2.74-2.84
Cu 0.5000 0.5000 0.5000  4 Ag 2.69, 8 Cu 2.71-2.76
Cu 0.7006 0.2994 0.5000  6 Ag 2.72-2.73, 6 Cu 2.74-2.84
Cu 0.9065 0.0935 0.5000  8 Cu 2.58-2.84, 4 Ag 2.72
Ag 0.1964 0.8036 0.0000  7 Cu 2.71-2.73, 5 Ag 2.74-2.83
Ag 0.4020 0.5980 0.0000  8 Cu 2.69-2.74, 4 Ag 2.70-2.83
Ag 0.5980 0.4020 0.0000  8 Cu 2.69-2.74, 4 Ag 2.70-2.83
Ag 0.8036 0.1964 0.0000  7 Cu 2.71-2.73, 5 Ag 2.74-2.83

Results
calculated volume = 144.0 Å³ per cell
VASP energy = -32.45 eV/cell
space group = No. 12
crystal system = monoclinic
formation energy = 2.657 kcal/mol of atoms

Crystalline Cu3Ag7 at its relaxed geometry, computed with GGA-PBE.

abc: 4.9958 4.9958 11.8501
angles: 98.84 98.84 33.67
Last column: nearest neighbours and their distance in Å.
Element x y z (fractional)
Cu 0.0000 0.0000 0.0000  2 Cu 2.54, 7 Ag 2.69-2.82
Cu 0.3370 0.3370 0.0979  2 Cu 2.54, 7 Ag 2.71-2.81
Cu 0.5205 0.5205 0.4940  10 Ag 2.75-2.99, 2 Cu 2.89
Ag 0.1191 0.1191 0.6940  2 Cu 2.81, 10 Ag 2.84-3.02
Ag 0.2129 0.2129 0.3943  3 Cu 2.75-2.99, 9 Ag 2.83-2.95
Ag 0.4138 0.4138 0.8077  2 Cu 2.71, 10 Ag 2.89-2.93
Ag 0.6298 0.6298 0.1774  5 Cu 2.69-2.81, 7 Ag 2.89-2.96
Ag 0.7064 0.7064 0.9176  5 Cu 2.71-2.82, 7 Ag 2.89-3.02
Ag 0.8284 0.8284 0.5932  3 Cu 2.75-2.99, 9 Ag 2.83-2.93
Ag 0.9235 0.9235 0.2940  4 Cu 2.75-2.80, 8 Ag 2.83-2.96

Results
calculated volume = 161.8 Å³ per cell
VASP energy = -30.28 eV/cell
space group = No. 8
crystal system = monoclinic
formation energy = 1.485 kcal/mol of atoms

Crystalline CuAg2 at its relaxed geometry, computed with GGA-PBE.

abc: 5.0091 5.0091 11.2413
angles: 112.12 112.12 33.57
Last column: nearest neighbours and their distance in Å.
Element x y z (fractional)
Cu 0.0000 0.0000 0.0000  4 Cu 2.54, 4 Ag 2.64
Cu 0.3445 0.3445 0.0871  4 Cu 2.53-2.54, 4 Ag 2.75-2.79
Cu 0.6555 0.6555 0.9129  4 Cu 2.53-2.54, 4 Ag 2.75-2.79
Ag 0.0057 0.0057 0.3121  2 Cu 2.79, 10 Ag 2.86-2.96
Ag 0.3181 0.3181 0.8035  4 Cu 2.64-2.75, 7 Ag 2.86-2.94
Ag 0.3374 0.3374 0.4408  12 Ag 2.87-2.96
Ag 0.6626 0.6626 0.5592  12 Ag 2.87-2.96
Ag 0.6819 0.6819 0.1965  4 Cu 2.64-2.75, 7 Ag 2.86-2.94
Ag 0.9943 0.9943 0.6879  2 Cu 2.79, 10 Ag 2.86-2.96

Results
calculated volume = 143.4 Å³ per cell
VASP energy = -27.62 eV/cell
space group = No. 12
crystal system = monoclinic
formation energy = 1.218 kcal/mol of atoms

Crystalline Cu7Ag2 at its relaxed geometry, computed with GGA-PBE.

abc: 6.8747 6.8747 7.6658
angles: 121.61 121.61 22.76
Last column: nearest neighbours and their distance in Å.
Element x y z (fractional)
Cu 0.0000 0.0000 0.0000  8 Cu 2.61-2.71, 4 Ag 2.69
Cu 0.1265 0.1265 0.6936  7 Cu 2.49-2.71, 4 Ag 2.68-2.69
Cu 0.2217 0.2217 0.3269  9 Cu 2.53-2.71, 3 Ag 2.69-2.71
Cu 0.3331 0.3331 0.9954  11 Cu 2.49-2.71, 1 Ag 2.74
Cu 0.6669 0.6669 0.0046  11 Cu 2.49-2.71, 1 Ag 2.74
Cu 0.7783 0.7783 0.6731  9 Cu 2.53-2.71, 3 Ag 2.69-2.71
Cu 0.8735 0.8735 0.3064  7 Cu 2.49-2.71, 4 Ag 2.68-2.69
Ag 0.4452 0.4452 0.6572  10 Cu 2.68-2.74, 2 Ag 2.71
Ag 0.5548 0.5548 0.3428  10 Cu 2.68-2.74, 2 Ag 2.71

Results
calculated volume = 118.5 Å³ per cell
VASP energy = -30.98 eV/cell
space group = No. 12
crystal system = monoclinic
formation energy = 1.761 kcal/mol of atoms

Crystalline CuAg at its relaxed geometry, computed with GGA-PBE.

abc: 7.3290 7.3290 4.7777
angles: 96.13 96.13 141.92
Last column: nearest neighbours and their distance in Å.
Element x y z (fractional)
Cu 0.0000 0.0000 0.0000  7 Cu 2.63-2.79, 5 Ag 2.67-2.79
Cu 0.5069 0.4931 0.5000  6 Ag 2.67-2.75, 6 Cu 2.74-2.78
Cu 0.6040 0.3960 0.0000  7 Ag 2.63-2.78, 5 Cu 2.74-2.86
Cu 0.8101 0.1899 0.0000  4 Cu 2.63-2.86, 8 Ag 2.77-2.82
Cu 0.9049 0.0951 0.5000  6 Ag 2.61-2.78, 6 Cu 2.73-2.78
Ag 0.0932 0.9068 0.5000  7 Cu 2.61-2.78, 4 Ag 2.82-2.85
Ag 0.2016 0.7984 0.0000  5 Cu 2.75-2.82, 7 Ag 2.77-2.94
Ag 0.3121 0.6879 0.5000  5 Cu 2.70-2.77, 6 Ag 2.77-2.84
Ag 0.4139 0.5861 0.0000  9 Cu 2.63-2.79, 3 Ag 2.77-2.94
Ag 0.7053 0.2947 0.5000  6 Cu 2.75-2.80, 6 Ag 2.77-2.85

Results
calculated volume = 149.6 Å³ per cell
VASP energy = -31.70 eV/cell
space group = No. 5
crystal system = monoclinic
formation energy = 2.310 kcal/mol of atoms